A plane-wave DFT calculation with PBE was carried out for a relaxed structure of HfBeFe. Values from VASP.

Cell and atoms, written as Quantum ESPRESSO input:
```
&SYSTEM
  ibrav = 0, nat = 3, ntyp = 3
/
ATOMIC_SPECIES
Be 9.01 Be.upf
Fe 55.84 Fe.upf
Hf 178.49 Hf.upf
CELL_PARAMETERS angstrom
0.0000 2.8402 2.8402
2.8402 0.0000 2.8402
2.8402 2.8402 0.0000
ATOMIC_POSITIONS crystal
Be 0.2500 0.2500 0.2500
Fe 0.0000 0.0000 0.0000
Hf 0.7500 0.7500 0.7500
```

Summary:
- excess energy over the best structure of this formula in the dataset (meV/atom) = 0
- mass density (g cm⁻³) = 8.82

=====

A plane-wave DFT calculation with PBE was carried out for a relaxed structure of MgTlBiOs. Values from VASP.

Cell and atoms, written as Quantum ESPRESSO input:
```
&SYSTEM
  ibrav = 0, nat = 4, ntyp = 4
/
ATOMIC_SPECIES
Bi 208.98 Bi.upf
Mg 24.30 Mg.upf
Os 190.23 Os.upf
Tl 204.38 Tl.upf
CELL_PARAMETERS angstrom
0.0000 3.4629 3.4629
3.4629 0.0000 3.4629
3.4629 3.4629 0.0000
ATOMIC_POSITIONS crystal
Bi 0.0000 0.0000 0.0000
Mg 0.7500 0.7500 0.7500
Os 0.2500 0.2500 0.2500
Tl 0.5000 0.5000 0.5000
```

Summary:
- excess energy over the best structure of this formula in the dataset (meV/atom) = 0
- mass density (g cm⁻³) = 12.55

=====

A plane-wave DFT calculation with PBE was carried out for a relaxed structure of ZrNbAg. Values from VASP.

Cell and atoms, written as Quantum ESPRESSO input:
```
&SYSTEM
  ibrav = 0, nat = 3, ntyp = 3
/
ATOMIC_SPECIES
Ag 107.87 Ag.upf
Nb 92.91 Nb.upf
Zr 91.22 Zr.upf
CELL_PARAMETERS angstrom
4.4932 0.3275 0.7010
1.7057 -0.6183 4.1828
2.4392 -3.7360 0.9380
ATOMIC_POSITIONS crystal
Ag 0.0000 0.0000 0.0000
Nb 0.2500 0.2500 0.2500
Zr 0.7500 0.7500 0.7500
```

Summary:
- excess energy over the best structure of this formula in the dataset (meV/atom) = 0
- mass density (g cm⁻³) = 7.24
- energy relative to the elements (eV/atom) = 0.747

=====

A plane-wave DFT calculation with PBE was carried out for a relaxed structure of Y2HoMg3Ir2Pt. Values from VASP.

Cell and atoms, written as Quantum ESPRESSO input:
```
&SYSTEM
  ibrav = 0, nat = 9, ntyp = 5
/
ATOMIC_SPECIES
Ho 164.93 Ho.upf
Ir 192.22 Ir.upf
Mg 24.30 Mg.upf
Pt 195.08 Pt.upf
Y 88.91 Y.upf
CELL_PARAMETERS angstrom
-0.7190 3.6822 1.4856
-3.9635 -2.9519 5.3982
7.1878 1.0371 0.9081
ATOMIC_POSITIONS crystal
Ho 0.0000 0.5877 0.5877
Ir 0.5000 0.6657 0.3361
Ir 0.5000 0.3361 0.6657
Mg 0.5000 0.2483 0.2483
Mg 0.5000 0.9997 0.7518
Mg 0.5000 0.7518 0.9997
Pt 0.0000 0.9976 0.9976
Y 0.0000 0.4131 0.0001
Y 0.0000 0.0001 0.4131
```

Summary:
- mass density (g cm⁻³) = 8.81
- raw total energy (eV for the cell shown) = -53.0

=====

A plane-wave DFT calculation with PBE was carried out for a relaxed structure of Cu5Ag4. Values from VASP.

Cell and atoms, written as Quantum ESPRESSO input:
```
&SYSTEM
  ibrav = 0, nat = 9, ntyp = 2
/
ATOMIC_SPECIES
Ag 107.87 Ag.upf
Cu 63.55 Cu.upf
CELL_PARAMETERS angstrom
4.7610 -1.3972 0.0000
4.7610 1.3972 0.0000
-3.9442 0.0000 9.8871
ATOMIC_POSITIONS crystal
Ag 0.9964 0.9964 0.1390
Ag 0.6676 0.6676 0.3799
Ag 0.3324 0.3324 0.6201
Ag 0.0036 0.0036 0.8610
Cu 0.7008 0.7008 0.0760
Cu 0.3523 0.3523 0.2843
Cu 0.0000 0.0000 0.5000
Cu 0.6477 0.6477 0.7157
Cu 0.2992 0.2992 0.9240
```

Summary:
- excess energy over the best structure of this formula in the dataset (meV/atom) = 53
- mass density (g cm⁻³) = 9.46
- energy relative to the elements (eV/atom) = 0.094

=====

A plane-wave DFT calculation with PBE was carried out for a relaxed structure of PmSnHg2. Values from VASP.

Cell and atoms, written as Quantum ESPRESSO input:
```
&SYSTEM
  ibrav = 0, nat = 4, ntyp = 3
/
ATOMIC_SPECIES
Hg 200.59 Hg.upf
Pm 145.00 Pm.upf
Sn 118.71 Sn.upf
CELL_PARAMETERS angstrom
-3.5683 -2.7993 0.6830
2.0653 -1.7267 3.7132
-2.1261 3.3825 2.7555
ATOMIC_POSITIONS crystal
Hg 0.5000 0.0000 0.5000
Hg 0.0000 0.5000 0.5000
Pm 0.0000 0.0000 0.0000
Sn 0.5000 0.5000 0.0000
```

Summary:
- mass density (g cm⁻³) = 10.81
- raw total energy (eV for the cell shown) = -11.2

=====

A plane-wave DFT calculation with PBE was carried out for a relaxed structure of BaTaN2O. Values from VASP.

Cell and atoms, written as Quantum ESPRESSO input:
```
&SYSTEM
  ibrav = 0, nat = 20, ntyp = 4
/
ATOMIC_SPECIES
Ba 137.33 Ba.upf
N 14.01 N.upf
O 16.00 O.upf
Ta 180.95 Ta.upf
CELL_PARAMETERS angstrom
-5.7475 -2.8749 6.5104
-3.1742 -5.7062 6.4070
8.0724 7.2697 1.8394
ATOMIC_POSITIONS crystal
Ba 0.0759 0.0675 0.1815
Ba 0.9325 0.9241 0.3185
Ba 0.0675 0.0759 0.6815
Ba 0.9241 0.9325 0.8185
N 0.4455 0.4204 0.0494
N 0.9927 0.4903 0.2483
N 0.5097 0.0073 0.2517
N 0.5796 0.5545 0.4506
N 0.4204 0.4455 0.5494
N 0.4903 0.9927 0.7483
N 0.0073 0.5097 0.7517
N 0.5545 0.5796 0.9506
O 0.8046 0.7998 0.0246
O 0.2002 0.1954 0.4754
O 0.7998 0.8046 0.5246
O 0.1954 0.2002 0.9754
Ta 0.6965 0.6906 0.0544
Ta 0.3094 0.3035 0.4456
Ta 0.6906 0.6965 0.5544
Ta 0.3035 0.3094 0.9456
```

Summary:
- mass density (g cm⁻³) = 7.71
- raw total energy (eV for the cell shown) = -166.7

=====

A plane-wave DFT calculation with PBE was carried out for a relaxed structure of PrSm2Al7Au2. Values from VASP.

Cell and atoms, written as Quantum ESPRESSO input:
```
&SYSTEM
  ibrav = 0, nat = 12, ntyp = 4
/
ATOMIC_SPECIES
Al 26.98 Al.upf
Au 196.97 Au.upf
Pr 140.91 Pr.upf
Sm 150.36 Sm.upf
CELL_PARAMETERS angstrom
2.8268 1.6320 8.8207
-2.8268 1.6320 8.8207
0.0000 -3.2641 8.8207
ATOMIC_POSITIONS crystal
Al 0.5871 0.5871 0.0731
Al 0.9269 0.4129 0.4129
Al 0.4129 0.9269 0.4129
Al 0.5000 0.5000 0.5000
Al 0.5871 0.0731 0.5871
Al 0.0731 0.5871 0.5871
Al 0.4129 0.4129 0.9269
Au 0.3365 0.3365 0.3365
Au 0.6635 0.6635 0.6635
Pr 0.0000 0.0000 0.0000
Sm 0.1423 0.1423 0.1423
Sm 0.8577 0.8577 0.8577
```

Summary:
- mass density (g cm⁻³) = 6.97
- raw total energy (eV for the cell shown) = -54.2

=====

Among the records above, which one has the lowest mass density? PrSm2Al7Au2

=====

Look up the mass density of the first one. 8.82 g cm⁻³

=====

Which of these has the highest mass density? MgTlBiOs